# TcIr2Ru

TcIr2Ru after structural relaxation (GGA-PBE, the Alexandria database).

The structure in POSCAR format:
```
TcIr2Ru
1.0
-4.794 6.488 2.183
2.479 -7.164 -3.517
-0.876 -1.397 2.228
Tc Ir Ru
1 2 1
Cartesian
-1.202 -1.776 0.138
2.130 -6.509 -3.243
-3.811 3.123 2.184
1.013 -4.413 -2.368
```

## Properties
Calculated volume ... 15.74 Å³/atom
Total DFT energy (no corrections) ... -9.11 eV/atom
Energy of formation ... 0.92 eV/f.u.
E above lowest polymorph ... 397.9 meV per atom
Crystal system ... orthorhombic